# 1
Compound: MnCd2P
Source: the Alexandria database
Functional: PBE
Structure: optimized geometry

Output
- D(E_F) (states/eV per atom) = 0.292
- total energy (eV/atom) = -3.857

```
data_MnCd2P
_space_group_name_H-M_alt 'I -4 2 d'
_space_group_IT_number 122
_space_group_name_Hall 'I -4 2bw'
_cell_length_a 8.713
_cell_length_b 8.713
_cell_length_c 4.697
_cell_angle_alpha 90.00
_cell_angle_beta 90.00
_cell_angle_gamma 90.00
loop_
_atom_site_label
_atom_site_type_symbol
_atom_site_fract_x
_atom_site_fract_y
_atom_site_fract_z
Mn1 Mn 0.000 0.000 0.000
Cd1 Cd 0.163 0.250 0.625
P1 P 0.000 0.000 0.500
```



# 2
Compound: Mn2CdP
Source: the Alexandria database
Functional: PBE
Structure: optimized geometry

Output
- D(E_F) (states/eV per atom) = 0.608
- total energy (eV/atom) = -6.173

```
data_Mn2CdP
_space_group_name_H-M_alt 'C 1 2/m 1'
_space_group_IT_number 12
_space_group_name_Hall '-C 2y'
_cell_length_a 5.665
_cell_length_b 3.286
_cell_length_c 6.919
_cell_angle_alpha 90.00
_cell_angle_beta 106.10
_cell_angle_gamma 90.00
loop_
_atom_site_label
_atom_site_type_symbol
_atom_site_fract_x
_atom_site_fract_y
_atom_site_fract_z
Mn1 Mn 0.225 0.000 0.174
Cd1 Cd 0.000 0.000 0.500
P1 P 0.000 0.500 0.000
```



# 3
Compound: MnCd2P
Source: the Alexandria database
Functional: PBE
Structure: optimized geometry

Output
- D(E_F) (states/eV per atom) = 0.623
- total energy (eV/atom) = -3.812

```
data_MnCd2P
_space_group_name_H-M_alt 'I -4 m 2'
_space_group_IT_number 119
_space_group_name_Hall 'I -4 -2'
_cell_length_a 4.108
_cell_length_b 4.108
_cell_length_c 8.635
_cell_angle_alpha 90.00
_cell_angle_beta 90.00
_cell_angle_gamma 90.00
loop_
_atom_site_label
_atom_site_type_symbol
_atom_site_fract_x
_atom_site_fract_y
_atom_site_fract_z
Mn1 Mn 0.000 0.000 0.000
Cd1 Cd 0.000 0.000 0.500
Cd2 Cd 0.000 0.500 0.250
P1 P 0.000 0.500 0.750
```



# 4
Compound: MnCdP
Source: the Alexandria database
Functional: PBE
Structure: optimized geometry

Output
- D(E_F) (states/eV per atom) = 0.688
- total energy (eV/atom) = -5.107

```
data_MnCdP
_space_group_name_H-M_alt 'P -6 m 2'
_space_group_IT_number 187
_space_group_name_Hall 'P -6 2'
_cell_length_a 3.8006
_cell_length_b 3.8006
_cell_length_c 3.8372
_cell_angle_alpha 90.00
_cell_angle_beta 90.00
_cell_angle_gamma 120.00
loop_
_atom_site_label
_atom_site_type_symbol
_atom_site_fract_x
_atom_site_fract_y
_atom_site_fract_z
Mn1 Mn 0.0000 0.0000 0.0000
Cd1 Cd 0.6667 0.3333 0.5000
P1 P 0.3333 0.6667 0.0000
```



# 5
Compound: MnCd2P
Source: the Alexandria database
Functional: PBE
Structure: optimized geometry

Output
- D(E_F) (states/eV per atom) = 0.685
- total energy (eV/atom) = -3.717

```
data_MnCd2P
_space_group_name_H-M_alt 'F -4 3 m'
_space_group_IT_number 216
_space_group_name_Hall 'F -4 2 3'
_cell_length_a 6.703
_cell_length_b 6.703
_cell_length_c 6.703
_cell_angle_alpha 90.00
_cell_angle_beta 90.00
_cell_angle_gamma 90.00
loop_
_atom_site_label
_atom_site_type_symbol
_atom_site_fract_x
_atom_site_fract_y
_atom_site_fract_z
Mn1 Mn 0.000 0.000 0.000
Cd1 Cd 0.000 0.000 0.500
Cd2 Cd 0.250 0.250 0.750
P1 P 0.250 0.250 0.250
```



# 6
Compound: Mn2CdP
Source: the Alexandria database
Functional: PBE
Structure: optimized geometry

Output
- D(E_F) (states/eV per atom) = 0.791
- total energy (eV/atom) = -5.890

```
data_Mn2CdP
_space_group_name_H-M_alt 'I 4/m m m'
_space_group_IT_number 139
_space_group_name_Hall '-I 4 2'
_cell_length_a 4.011
_cell_length_b 4.011
_cell_length_c 7.668
_cell_angle_alpha 90.00
_cell_angle_beta 90.00
_cell_angle_gamma 90.00
loop_
_atom_site_label
_atom_site_type_symbol
_atom_site_fract_x
_atom_site_fract_y
_atom_site_fract_z
Mn1 Mn 0.000 0.500 0.250
Cd1 Cd 0.000 0.000 0.000
P1 P 0.000 0.000 0.500
```